Entry 1:
A plane-wave DFT calculation with GGA-PBE was carried out for an optimized crystal structure of Cu2MoPb.

a b c (Å): 4.8635 4.8635 2.9715
angles (deg): 90.19 90.19 109.68
Last column: nearest neighbours and their distance in Å.
Sites, in units of the cell vectors:
Cu: 0.0000 0.5000 0.0000  4 Cu 2.80-2.97, 4 Pb 2.85, 4 Mo 2.85
Cu: 0.5000 0.0000 0.0000  4 Cu 2.80-2.97, 4 Pb 2.85, 4 Mo 2.85
Mo: 0.0000 0.0000 0.5000  2 Pb 2.80, 8 Cu 2.85, 2 Mo 2.97
Pb: 0.5000 0.5000 0.5000  2 Mo 2.80, 8 Cu 2.85, 2 Pb 2.97

Calculated total energy: -20.60 eV per formula unit
Density: 10.795 g cm⁻³
DOS at the Fermi energy: 1.99 states/eV/f.u.

---

Entry 2:
A plane-wave DFT calculation with GGA-PBE was carried out for an optimized crystal structure of BeZnIn.

a b c (Å): 3.1057 3.1057 6.1072
angles (deg): 90.00 90.00 120.00
Last column: nearest neighbours and their distance in Å.
Sites, in units of the cell vectors:
Be: 0.0000 0.0000 0.0000  3 Zn 2.43
Zn: 0.6667 0.3333 0.7321  3 Be 2.43
In: 0.3333 0.6667 0.3417  3 Be 2.75, 3 Zn 2.98

Calculated total energy: -6.54 eV per formula unit
Density: 6.160 g cm⁻³
DOS at the Fermi energy: 1.03 states/eV/f.u.
ΔE to the lowest computed polymorph: 195 meV per atom

---

Entry 3:
A plane-wave DFT calculation with GGA-PBE was carried out for an optimized crystal structure of TaTe3C.

a b c (Å): 5.3856 5.3856 5.3856
angles (deg): 90.00 90.00 90.00
Last column: nearest neighbours and their distance in Å.
Sites, in units of the cell vectors:
Ta: 0.0000 0.0000 0.0000  6 Te 2.69
Te: 0.0000 0.0000 0.5000  2 Ta 2.69
Te: 0.0000 0.5000 0.0000  2 Ta 2.69
Te: 0.5000 0.0000 0.0000  2 Ta 2.69
C: 0.5000 0.5000 0.5000  12 Te 3.81

Calculated total energy: -22.85 eV per formula unit
Density: 6.120 g cm⁻³
DOS at the Fermi energy: 4.96 states/eV/f.u.
Formation energy from raw total energies: 1.529 eV/atom
ΔE to the lowest computed polymorph: 316 meV per atom